First-principles (PBE) data for a geometry-optimized Mg3PN structure, as listed in Alexandria.

abc: 5.870 5.870 6.420
angles: 117.21 89.99 120.00
Fractional coordinates of all 10 atoms:
Mg 0.488 0.375 0.390
Mg 0.607 0.861 0.838
Mg 0.028 0.658 0.838
Mg 0.864 0.954 0.389
Mg 0.067 0.578 0.390
Mg 0.231 0.282 0.838
N 0.891 0.806 0.646
N 0.203 0.430 0.582
P 0.416 0.855 0.219
P 0.679 0.381 0.009

Calculated values
The value obtained for the magnetic moment is 0.00 μB/cell. The calculation puts the polymorph energy (0 for the lowest one) at 0.1067 eV per atom. The value obtained for the raw formation energy is -0.6311 eV per atom. For the electronic total energy, the calculation gives -43.3 eV for the cell shown.

***

First-principles (PBE) data for a geometry-optimized Cs2Rb3Na4Hg2 structure, as listed in Alexandria.

abc: 6.403 6.403 15.937
angles: 101.59 101.59 90.00
Fractional coordinates of all 11 atoms:
Na 0.426 0.926 0.851
Na 0.926 0.426 0.851
Na 0.574 0.074 0.149
Na 0.074 0.574 0.149
Cs 0.323 0.323 0.645
Cs 0.677 0.677 0.355
Rb 0.834 0.834 0.668
Rb 0.166 0.166 0.332
Rb 0.000 0.000 0.000
Hg 0.450 0.450 0.899
Hg 0.550 0.550 0.101

Calculated values
The value obtained for the magnetic moment is 0.00 μB/cell. The formation enthalpy at 0 K is -28.8 meV per atom. For the electronic total energy, the calculation gives -10.8 eV for the cell shown.

***

First-principles (PBE) data for a geometry-optimized CrTeP2Cl structure, as listed in Alexandria.

abc: 4.680 4.680 4.385
angles: 90.00 90.00 90.00
Fractional coordinates of all 5 atoms:
P 0.000 0.500 0.000
P 0.500 0.000 0.000
Cl 0.000 0.000 0.500
Cr 0.000 0.000 0.000
Te 0.500 0.500 0.500

Calculated values
The value obtained for the magnetic moment is 0.00 μB/cell. The calculation puts the polymorph energy (0 for the lowest one) at 0.0000 eV per atom. The value obtained for the raw formation energy is 0.3305 eV per atom. For the electronic total energy, the calculation gives -23.8 eV for the cell shown.

***

First-principles (PBE) data for a geometry-optimized Rb2CoAuCl6 structure, as listed in Alexandria.

abc: 7.379 7.379 7.271
angles: 59.51 59.51 90.00
Fractional coordinates of all 10 atoms:
Cl 0.284 0.284 0.000
Cl 0.232 0.232 0.535
Cl 0.716 0.284 0.000
Cl 0.716 0.716 0.000
Cl 0.768 0.768 0.465
Cl 0.284 0.716 0.000
Co 0.500 0.500 0.000
Rb 0.250 0.750 0.500
Rb 0.750 0.250 0.500
Au 0.000 0.000 0.000

Calculated values
The value obtained for the magnetic moment is 1.90 μB/cell. The value obtained for the raw formation energy is -1.0171 eV per atom. For the electronic total energy, the calculation gives -33.6 eV for the cell shown.

***

First-principles (PBE) data for a geometry-optimized Sr2ThTl3Te6 structure, as listed in Alexandria.

abc: 8.141 8.141 8.391
angles: 99.34 99.34 119.91
Fractional coordinates of all 12 atoms:
Te 0.076 0.391 0.228
Te 0.764 0.764 0.233
Te 0.924 0.609 0.772
Te 0.391 0.076 0.228
Te 0.609 0.924 0.772
Te 0.236 0.236 0.767
Sr 0.665 0.335 0.000
Sr 0.335 0.665 0.000
Th 0.000 0.000 0.000
Tl 0.168 0.832 0.500
Tl 0.500 0.500 0.500
Tl 0.832 0.168 0.500

Calculated values
The value obtained for the magnetic moment is 0.00 μB/cell. The value obtained for the raw formation energy is -0.9826 eV per atom. For the electronic total energy, the calculation gives -48.5 eV for the cell shown.

***

First-principles (PBE) data for a geometry-optimized Be2TlCd structure, as listed in Alexandria.

abc: 3.951 3.951 6.340
angles: 90.08 90.08 51.22
Fractional coordinates of all 4 atoms:
Cd 0.379 0.379 0.612
Tl 0.370 0.370 0.158
Be 0.720 0.720 0.863
Be 0.031 0.031 0.866

Calculated values
The value obtained for the magnetic moment is 0.00 μB/cell. The formation enthalpy at 0 K is 464.3 meV per atom. The calculation puts the polymorph energy (0 for the lowest one) at 0.0000 eV per atom. For the electronic total energy, the calculation gives -8.9 eV for the cell shown.

***

First-principles (PBE) data for a geometry-optimized TaCu4Au structure, as listed in Alexandria.

abc: 4.864 4.864 4.864
angles: 60.00 60.00 60.00
Fractional coordinates of all 6 atoms:
Au 0.000 0.000 0.000
Ta 0.250 0.250 0.250
Cu 0.126 0.625 0.625
Cu 0.625 0.625 0.126
Cu 0.625 0.625 0.625
Cu 0.625 0.126 0.625

Calculated values
The value obtained for the magnetic moment is 0.00 μB/cell. The formation enthalpy at 0 K is 5.2 meV per atom. For the electronic total energy, the calculation gives -31.5 eV for the cell shown.

***

First-principles (PBE) data for a geometry-optimized CsHgGeTe2 structure, as listed in Alexandria.

abc: 5.684 5.684 5.662
angles: 90.00 90.00 90.00
Fractional coordinates of all 5 atoms:
Ge 0.000 0.000 0.000
Hg 0.000 0.000 0.500
Cs 0.500 0.500 0.500
Te 0.000 0.500 0.000
Te 0.500 0.000 0.000

Calculated values
The value obtained for the magnetic moment is 0.00 μB/cell. The value obtained for the raw formation energy is -0.2737 eV per atom. For the electronic total energy, the calculation gives -13.4 eV for the cell shown.

***

First-principles (PBE) data for a geometry-optimized YTeMo2 structure, as listed in Alexandria.

abc: 3.323 3.323 7.708
angles: 90.00 90.00 90.00
Fractional coordinates of all 4 atoms:
Y 0.500 0.500 0.786
Mo 0.500 0.500 0.223
Mo 0.000 0.000 0.045
Te 0.000 0.000 0.447

Calculated values
The value obtained for the magnetic moment is 0.00 μB/cell. The value obtained for the raw formation energy is 0.0410 eV per atom. For the electronic total energy, the calculation gives -31.1 eV for the cell shown.

***

First-principles (PBE) data for a geometry-optimized Ba2CeF8 structure, as listed in Alexandria.

abc: 4.246 5.581 8.379
angles: 107.45 104.67 90.00
Fractional coordinates of all 11 atoms:
Ba 0.829 0.322 0.657
Ba 0.171 0.678 0.343
F 0.590 0.382 0.181
F 0.375 0.072 0.749
F 0.986 0.204 0.971
F 0.410 0.618 0.819
F 0.625 0.928 0.251
F 0.227 0.263 0.454
F 0.773 0.737 0.546
F 0.014 0.796 0.029
Ce 0.500 0.000 0.000

Calculated values
The value obtained for the magnetic moment is 0.18 μB/cell. The value obtained for the raw formation energy is -3.8235 eV per atom. For the electronic total energy, the calculation gives -66.8 eV for the cell shown.

***

First-principles (PBE) data for a geometry-optimized CrInHPd2 structure, as listed in Alexandria.

abc: 4.132 4.132 4.009
angles: 90.00 90.00 90.00
Fractional coordinates of all 5 atoms:
Pd 0.500 0.000 0.000
Pd 0.000 0.500 0.000
H 0.000 0.000 0.000
In 0.500 0.500 0.500
Cr 0.000 0.000 0.500

Calculated values
The value obtained for the magnetic moment is 4.18 μB/cell. For the electronic total energy, the calculation gives -27.0 eV for the cell shown.

***

First-principles (PBE) data for a geometry-optimized Ta4Ag2O11 structure, as listed in Alexandria.

abc: 12.985 12.985 12.985
angles: 27.96 27.96 27.96
Fractional coordinates of all 34 atoms:
O 0.503 0.997 0.750
O 0.907 0.907 0.907
O 0.934 0.728 0.244
O 0.250 0.497 0.003
O 0.744 0.228 0.434
O 0.750 0.503 0.997
O 0.756 0.066 0.272
O 0.497 0.003 0.250
O 0.228 0.434 0.744
O 0.407 0.407 0.407
O 0.593 0.593 0.593
O 0.772 0.566 0.256
O 0.566 0.256 0.772
O 0.728 0.244 0.934
O 0.003 0.250 0.497
O 0.272 0.756 0.066
O 0.066 0.272 0.756
O 0.093 0.093 0.093
O 0.434 0.744 0.228
O 0.997 0.750 0.503
O 0.244 0.934 0.728
O 0.256 0.772 0.566
Ag 0.670 0.670 0.670
Ag 0.330 0.330 0.330
Ag 0.830 0.830 0.830
Ag 0.170 0.170 0.170
Ta 0.500 0.500 0.500
Ta 0.613 0.250 0.887
Ta 0.250 0.887 0.613
Ta 0.387 0.750 0.113
Ta 0.887 0.613 0.250
Ta 0.750 0.113 0.387
Ta 0.113 0.387 0.750
Ta 0.000 0.000 0.000

Calculated values
The value obtained for the magnetic moment is 0.00 μB/cell. The value obtained for the raw formation energy is -2.3447 eV per atom. For the electronic total energy, the calculation gives -295.0 eV for the cell shown.